1.
VASP calculation (GGA-PBE) on Y2ScTcH after structural relaxation.

a = 4.884 Å, b = 4.884 Å, c = 4.004 Å
α = 90.00°, β = 90.00°, γ = 90.00°
Element x y z (fractional)
1 Y 0.000 0.500 0.000
2 Y 0.500 0.000 0.000
3 Sc 0.000 0.000 0.500
4 Tc 0.500 0.500 0.500
5 H 0.000 0.000 0.000

Values from the calculation:
**Space group**: P4/mmm, No. 123
**Electronic total energy**: -0.2424 hartree per atom

=====

2.
VASP calculation (GGA-PBE) on Sc2ZnTcH after structural relaxation.

a = 4.606 Å, b = 4.606 Å, c = 3.498 Å
α = 90.00°, β = 90.00°, γ = 90.00°
Element x y z (fractional)
1 Sc 0.000 0.500 0.000
2 Sc 0.500 0.000 0.000
3 Zn 0.000 0.000 0.500
4 Tc 0.500 0.500 0.500
5 H 0.500 0.500 0.000

Values from the calculation:
**Space group**: P4/mmm, No. 123
**Electronic total energy**: -0.2158 hartree per atom

=====

3.
VASP calculation (GGA-PBE) on Zr2ScTcH after structural relaxation.

a = 4.817 Å, b = 4.817 Å, c = 3.572 Å
α = 90.00°, β = 90.00°, γ = 90.00°
Element x y z (fractional)
1 Zr 0.000 0.500 0.000
2 Zr 0.500 0.000 0.000
3 Sc 0.000 0.000 0.500
4 Tc 0.500 0.500 0.500
5 H 0.500 0.500 0.000

Values from the calculation:
**Space group**: P4/mmm, No. 123
**Energy relative to the lowest polymorph listed for this composition**: 0.0000 eV per atom

=====

4.
VASP calculation (GGA-PBE) on Zr2ScTcH after structural relaxation.

a = 4.624 Å, b = 4.624 Å, c = 3.841 Å
α = 90.00°, β = 90.00°, γ = 90.00°
Element x y z (fractional)
1 Zr 0.000 0.500 0.000
2 Zr 0.500 0.000 0.000
3 Sc 0.000 0.000 0.500
4 Tc 0.500 0.500 0.500
5 H 0.000 0.000 0.000

Values from the calculation:
**Space group**: P4/mmm, No. 123
**Energy relative to the lowest polymorph listed for this composition**: 0.0186 eV per atom

=====

These records have DOS at the Fermi energy values of 1.0624; 0.6562; 0.9264; 0.8514 states/eV/atom, in the order they appear.